Entry 1:
! Cd2BF GGA-PBE optimized geometry; values from VASP
! **Energy relative to the lowest polymorph listed for this composition**: 0 meV per atom
! **E_form (uncorrected)**: -24 kJ/mol of formula units
&SYSTEM
  ibrav = 0, nat = 8, ntyp = 3
/
ATOMIC_SPECIES
B 10.81 B.upf
F 19.00 F.upf
Cd 112.41 Cd.upf
ATOMIC_POSITIONS angstrom
B -3.138 -2.162 1.522
B -2.704 -5.332 3.444
F 0.000 0.000 0.000
F -4.277 -1.907 5.067
Cd -3.220 -0.663 3.256
Cd -1.839 -4.037 1.761
Cd -2.915 -3.921 5.240
Cd -5.989 -5.856 6.766
CELL_PARAMETERS angstrom
-4.711 1.263 3.145
-1.565 -5.587 -0.101
-0.706 -2.915 5.468


Entry 2:
! Y3TmIr2 GGA-PBE optimized geometry; values from VASP
! **Energy relative to the elements**: -0.633 eV per atom
! **Energy relative to the lowest polymorph listed for this composition**: 0 meV per atom
&SYSTEM
  ibrav = 0, nat = 12, ntyp = 3
/
ATOMIC_SPECIES
Y 88.91 Y.upf
Tm 168.93 Tm.upf
Ir 192.22 Ir.upf
ATOMIC_POSITIONS angstrom
Y 3.366 1.771 0.000
Y 3.366 5.313 0.000
Y 3.366 -1.771 3.615
Y 0.000 1.771 3.162
Y 0.000 5.313 3.162
Y 3.366 1.771 3.615
Tm 0.000 3.542 0.000
Tm 0.000 0.000 0.000
Ir 1.449 0.000 4.918
Ir 4.815 0.000 1.859
Ir -1.449 3.542 4.918
Ir 1.917 3.542 1.859
CELL_PARAMETERS angstrom
6.732 0.000 0.000
0.000 7.083 0.000
-3.366 -3.542 6.777


Entry 3:
! Dy4CdPd2 GGA-PBE optimized geometry; values from VASP
! **Energy relative to the elements**: -0.446 eV per atom
&SYSTEM
  ibrav = 0, nat = 7, ntyp = 3
/
ATOMIC_SPECIES
Dy 162.50 Dy.upf
Cd 112.41 Cd.upf
Pd 106.42 Pd.upf
ATOMIC_POSITIONS angstrom
Dy -5.899 -9.161 4.778
Dy -3.355 -8.210 0.225
Dy -1.091 -2.727 0.027
Dy -3.635 -3.678 4.580
Cd -3.495 -5.944 2.403
Pd -2.120 -5.430 -0.058
Pd -4.870 -6.458 4.864
CELL_PARAMETERS angstrom
-2.915 -3.010 -2.258
1.132 -4.611 -0.331
-5.207 -4.265 7.394


Entry 4:
! Pm8Ni2Os GGA-PBE optimized geometry; values from VASP
! **Energy relative to the elements**: -0.120 eV per atom
! **Energy relative to the lowest polymorph listed for this composition**: 0 meV per atom
&SYSTEM
  ibrav = 0, nat = 11, ntyp = 3
/
ATOMIC_SPECIES
Pm 145.00 Pm.upf
Ni 58.69 Ni.upf
Os 190.23 Os.upf
ATOMIC_POSITIONS angstrom
Pm -2.933 0.164 6.839
Pm 1.030 -4.307 5.523
Pm -2.059 -2.892 5.637
Pm -6.235 -0.918 5.441
Pm -1.156 -0.090 3.575
Pm -4.245 1.326 3.690
Pm -0.282 -3.145 2.373
Pm 3.020 -2.064 3.771
Ni -3.885 -1.754 3.987
Ni 0.670 -1.227 5.226
Os -1.066 -2.295 -0.402
CELL_PARAMETERS angstrom
-2.132 -4.589 -0.804
4.464 -2.814 4.222
-5.546 4.422 5.795


Entry 5:
! Li2Nd2SmGe2 GGA-PBE optimized geometry; values from VASP
! **Energy relative to the elements**: -0.487 eV per atom
&SYSTEM
  ibrav = 0, nat = 7, ntyp = 4
/
ATOMIC_SPECIES
Li 6.94 Li.upf
Nd 144.24 Nd.upf
Sm 150.36 Sm.upf
Ge 72.64 Ge.upf
ATOMIC_POSITIONS angstrom
Li 4.505 2.601 1.751
Li 4.505 2.601 7.760
Nd 2.252 1.300 5.944
Nd 6.757 3.901 3.567
Sm 0.000 0.000 0.000
Ge 6.757 3.901 7.646
Ge 2.252 1.300 1.865
CELL_PARAMETERS angstrom
4.505 0.000 0.000
2.252 3.901 0.000
2.252 1.300 9.511


Entry 6:
! K2ScCCl GGA-PBE optimized geometry; values from VASP
! **E_form (uncorrected)**: 109 kJ/mol of formula units
&SYSTEM
  ibrav = 0, nat = 5, ntyp = 4
/
ATOMIC_SPECIES
Sc 44.96 Sc.upf
K 39.10 K.upf
C 12.01 C.upf
Cl 35.45 Cl.upf
ATOMIC_POSITIONS angstrom
Sc 0.000 0.000 0.000
K 0.000 0.000 3.345
K 3.345 0.000 0.000
C 0.000 1.972 0.000
Cl 3.345 1.972 3.345
CELL_PARAMETERS angstrom
6.690 0.000 0.000
0.000 3.944 0.000
0.000 0.000 6.690


So what do the calculations give for spin magnetization? Going down the list: 0.0, 0.0, 0.0, 0.0, 0.0, 0.0 Bohr magnetons per cell.